A plane-wave DFT calculation with PBE was carried out for crystalline YbBO3 at its relaxed geometry.

a = 6.3294 Å, b = 6.3294 Å, c = 6.3294 Å
α = 46.60°, β = 46.60°, γ = 46.60°
Fractional positions:
Yb (0.0000, 0.0000, 0.0000)
Yb (0.5000, 0.5000, 0.5000)
B (0.2500, 0.2500, 0.2500)
B (0.7500, 0.7500, 0.7500)
O (0.0261, 0.7500, 0.4739)
O (0.2500, 0.5261, 0.9739)
O (0.4739, 0.0261, 0.7500)
O (0.5261, 0.9739, 0.2500)
O (0.7500, 0.4739, 0.0261)
O (0.9739, 0.2500, 0.5261)

ΔE_f (raw): -2.694 eV/atom
SG: R-3c, No. 167
M_tot: 0.202 μB/atom
total DFT energy (no corrections): -7.31 eV per atom

=====

A plane-wave DFT calculation with PBE was carried out for crystalline Zn2BO4 at its relaxed geometry.

a = 9.4823 Å, b = 3.2196 Å, c = 9.3506 Å
α = 90.00°, β = 90.00°, γ = 90.00°
Fractional positions:
Zn (0.1050, 0.2500, 0.1927)
Zn (0.1215, 0.2500, 0.5690)
Zn (0.3785, 0.7500, 0.0690)
Zn (0.3950, 0.7500, 0.6927)
Zn (0.6050, 0.2500, 0.3073)
Zn (0.6215, 0.2500, 0.9310)
Zn (0.8785, 0.7500, 0.4310)
Zn (0.8950, 0.7500, 0.8073)
B (0.1621, 0.2500, 0.8766)
B (0.3379, 0.7500, 0.3766)
B (0.6621, 0.2500, 0.6234)
B (0.8379, 0.7500, 0.1234)
O (0.0118, 0.2500, 0.3849)
O (0.0172, 0.2500, 0.8697)
O (0.2283, 0.2500, 0.0088)
O (0.2409, 0.2500, 0.7510)
O (0.2591, 0.7500, 0.2510)
O (0.2717, 0.7500, 0.5088)
O (0.4828, 0.7500, 0.3697)
O (0.4882, 0.7500, 0.8849)
O (0.5118, 0.2500, 0.1151)
O (0.5172, 0.2500, 0.6303)
O (0.7283, 0.2500, 0.4912)
O (0.7409, 0.2500, 0.7490)
O (0.7591, 0.7500, 0.2490)
O (0.7717, 0.7500, 0.9912)
O (0.9828, 0.7500, 0.1303)
O (0.9882, 0.7500, 0.6151)

ΔE_f (raw): -1.558 eV/atom
SG: Pnma, No. 62
M_tot: 0.137 μB/atom
total DFT energy (no corrections): -5.71 eV per atom